4
Lattice="-2.201 1.020 4.311 -4.587 -1.628 0.882 -0.754 -3.602 3.306" Properties=species:S:1:pos:R:3 comment="CeScZn2 PBE-GGA optimized geometry" e_tot_ev_per_cell=-15.8 de_polymorph_mev_per_atom=16 pbc="T T T"
Sc 0.000 0.000 0.000
Zn -1.885 -1.052 2.125
Zn -5.656 -3.157 6.374
Ce -3.771 -2.105 4.249

---

8
Lattice="-1.673 -2.554 -1.561 5.160 -2.257 -1.837 -1.474 -2.266 5.286" Properties=species:S:1:pos:R:3 comment="DyEr2InN4 PBE-GGA optimized geometry" e_tot_ev_per_cell=-59.7 raw_formation_energy_ev_per_atom=-1.236 pbc="T T T"
Dy 1.744 -2.405 -1.699
Er -1.573 -2.410 1.862
Er 1.843 -2.261 1.725
In 0.000 0.000 0.000
N 0.084 -2.414 0.094
N 1.930 -4.662 1.794
N 0.222 -2.255 3.451
N 3.464 -2.268 -0.002

---

5
Lattice="5.723 0.000 0.000 0.000 5.723 0.000 2.861 2.861 4.585" Properties=species:S:1:pos:R:3 comment="CdSb2Se2 PBE-GGA optimized geometry" e_tot_ev_per_cell=-16.2 raw_formation_energy_ev_per_atom=-0.012 de_polymorph_mev_per_atom=20 pbc="T T T"
Sb 2.861 2.861 1.744
Sb 5.723 5.723 2.840
Se 5.723 2.861 2.292
Se 2.861 5.723 2.292
Cd 0.000 0.000 0.000